[1]
Computed, not measured: a relaxed Be2NbAuI crystal at the PBE level of DFT.

## Properties
Formation energy from raw total energies = 1082.6 meV per atom
Total DFT energy (no corrections) = -3.387 eV/atom

Cell lengths 4.3313, 6.4501, 4.3313 Å; angles 90.00, 90.00, 90.00 degrees
Site moments in Bohr magnetons follow the coordinates.
Element x y z (fractional)
Be: 0.5000 0.0000 0.0000  -0.01
Be: 0.0000 0.0000 0.5000  -0.04
Nb: 0.5000 0.5000 0.5000  2.69
I: 0.0000 0.5000 0.0000  -0.01
Au: 0.0000 0.0000 0.0000  0.00

***

[2]
Computed, not measured: a relaxed BeNbAu2I crystal at the PBE level of DFT.

## Properties
Formation energy from raw total energies = 696.3 meV per atom
Total DFT energy (no corrections) = -3.684 eV/atom

Cell lengths 4.4789, 5.1917, 4.4789 Å; angles 90.00, 90.00, 90.00 degrees
Site moments in Bohr magnetons follow the coordinates.
Element x y z (fractional)
Nb: 0.5000 0.5000 0.5000  2.46
Au: 0.0000 0.0000 0.5000  -0.01
Au: 0.5000 0.0000 0.0000  -0.01
I: 0.0000 0.5000 0.0000  -0.02
Be: 0.0000 0.0000 0.0000  -0.01

***

[3]
Computed, not measured: a relaxed BePdAuI2 crystal at the PBE level of DFT.

## Properties
Formation energy from raw total energies = 793.9 meV per atom
Total DFT energy (no corrections) = -2.265 eV/atom

Cell lengths 5.4287, 5.1575, 5.4287 Å; angles 90.00, 90.00, 90.00 degrees
Site moments in Bohr magnetons follow the coordinates.
Element x y z (fractional)
I: 0.0000 0.0000 0.5000  0.04
I: 0.5000 0.0000 0.0000  0.05
Au: 0.0000 0.5000 0.0000  0.02
Pd: 0.0000 0.0000 0.0000  0.00
Be: 0.5000 0.5000 0.5000  0.21

***

[4]
Computed, not measured: a relaxed Be2PtAuI crystal at the PBE level of DFT.

## Properties
Formation energy from raw total energies = 1654.0 meV per atom
Total DFT energy (no corrections) = -2.010 eV/atom

Cell lengths 4.5743, 5.2400, 4.5743 Å; angles 90.00, 90.00, 90.00 degrees
Element x y z (fractional)
I: 0.0000 0.0000 0.0000
Au: 0.0000 0.5000 0.0000
Be: 0.5000 0.0000 0.0000
Be: 0.0000 0.0000 0.5000
Pt: 0.5000 0.5000 0.5000

***

[5]
Computed, not measured: a relaxed BeRuAu2I crystal at the PBE level of DFT.

## Properties
Formation energy from raw total energies = 921.7 meV per atom
Total DFT energy (no corrections) = -3.300 eV/atom

Cell lengths 4.3798, 5.0651, 4.3798 Å; angles 90.00, 90.00, 90.00 degrees
Site moments in Bohr magnetons follow the coordinates.
Element x y z (fractional)
Be: 0.0000 0.0000 0.0000  -0.01
Ru: 0.5000 0.5000 0.5000  1.11
I: 0.0000 0.5000 0.0000  -0.01
Au: 0.5000 0.0000 0.0000  -0.03
Au: 0.0000 0.0000 0.5000  -0.02

***

[6]
Computed, not measured: a relaxed BeSbAuI2 crystal at the PBE level of DFT.

## Properties
Formation energy from raw total energies = 582.6 meV per atom
Energy relative to the lowest polymorph listed for this composition = 0 meV/atom
Total DFT energy (no corrections) = -2.263 eV/atom

Cell lengths 5.1171, 5.1171, 5.1783 Å; angles 90.00, 90.00, 90.00 degrees
Element x y z (fractional)
Au: 0.5000 0.5000 0.5000
Sb: 0.0000 0.0000 0.5000
I: 0.5000 0.0000 0.0000
I: 0.0000 0.5000 0.0000
Be: 0.0000 0.0000 0.0000

***

Look up the total DFT energy (no corrections) of the third one.
-2.265 eV/atom

***

formation energy from raw total energies of number 5 (BeRuAu2I)?
921.7 meV per atom

***

The highest formation energy from raw total energies belongs to which entry?
Be2PtAuI

***

Which value of formation energy from raw total energies does entry 6 give?
582.6 meV per atom